Entry 1:
# La6Tb2PrTh, relaxed, DFT GGA-PBE
data_La6Tb2PrTh
_chemical_formula_sum 'La12 Tb4 Pr2 Th2'
_symmetry_space_group_name_H-M 'C 1 2/m 1'
_symmetry_Int_Tables_number 12
_cell_length_a 11.2528
_cell_length_b 7.1420
_cell_length_c 9.1514
_cell_angle_alpha 90.00
_cell_angle_beta 103.28
_cell_angle_gamma 90.00
loop_
_symmetry_equiv_pos_as_xyz
'x,y,z'
'-x,-y,-z'
'-x,y,-z'
'x,-y,z'
'x+1/2,y+1/2,z'
'-x+1/2,-y+1/2,-z'
'-x+1/2,y+1/2,-z'
'x+1/2,-y+1/2,z'
loop_
_atom_site_label
_atom_site_fract_x
_atom_site_fract_y
_atom_site_fract_z
La1 0.1402 0.0000 0.4367
La2 0.1794 0.2767 0.7996
Tb1 0.0883 0.5000 0.1633
Pr1 0.0000 0.0000 0.0000
Th1 0.0000 0.5000 0.5000
# - Formation enthalpy at 0 K: 4.34 kcal/mol of atoms
# - Theoretical density: 7.1 g/cm3
# - DOS(E_F): 19.1 states/eV/f.u.

***

Entry 2:
# La3In2Hg2, relaxed, DFT GGA-PBE
data_La3In2Hg2
_chemical_formula_sum 'La6 In4 Hg4'
_symmetry_space_group_name_H-M 'C m m m'
_symmetry_Int_Tables_number 65
_symmetry_space_group_name_Hall '-C 2 2'
_cell_length_a 4.8653
_cell_length_b 22.7753
_cell_length_c 3.6395
_cell_angle_alpha 90.00
_cell_angle_beta 90.00
_cell_angle_gamma 90.00
loop_
_atom_site_label
_atom_site_fract_x
_atom_site_fract_y
_atom_site_fract_z
La1 0.0000 0.0000 0.0000
La2 0.0000 0.1568 0.0000
In1 0.0000 0.4248 0.5000
Hg1 0.0000 0.2865 0.5000
# - Formation enthalpy at 0 K: -11.47 kcal/mol of atoms
# - Theoretical density: 8.6 g/cm3
# - DOS(E_F): 7.0 states/eV/f.u.

***

Question: Number 2 is which compound?
Answer: La3In2Hg2